Record 1
A plane-wave DFT calculation with PBE-GGA was carried out for a geometry-optimized NdAgGe2 structure.

a b c (Å): 4.388 4.388 5.796
angles (deg): 67.75 67.75 60.00
Positions (direct):
Ge: 0.774 0.774 0.678
Ge: 0.226 0.226 0.322
Ag: 0.500 0.500 0.500
Nd: 0.000 0.000 0.000

* DFT formation energy: -371 meV/atom
* calculated volume: 21.73 Å³ per atom

Record 2
A plane-wave DFT calculation with PBE-GGA was carried out for a geometry-optimized CaMn2Se structure.

a b c (Å): 4.474 4.474 5.530
angles (deg): 70.82 70.82 49.76
Each line ends with the local moment (μB).
Positions (direct):
Se: 0.474 0.474 0.641  -0.01
Mn: 0.028 0.028 0.891  3.03
Ca: 0.239 0.239 0.245  -0.06
Mn: 0.760 0.760 0.723  2.64

* E_form (uncorrected): -0.0008 eV per atom
* calculated volume: 19.69 Å³ per atom

Record 3
A plane-wave DFT calculation with PBE-GGA was carried out for a geometry-optimized K3Np2VTe6 structure.

a b c (Å): 7.638 7.638 8.622
angles (deg): 98.53 98.53 120.05
Each line ends with the local moment (μB).
Positions (direct):
K: 0.500 0.500 0.500  0.00
K: 0.172 0.828 0.500  0.00
K: 0.828 0.172 0.500  0.00
Te: 0.067 0.381 0.201  -0.09
Te: 0.755 0.755 0.203  -0.09
Te: 0.933 0.619 0.799  -0.09
Te: 0.619 0.933 0.799  -0.09
Te: 0.245 0.245 0.797  -0.09
Np: 0.334 0.666 0.000  3.87
Np: 0.666 0.334 0.000  3.87
V: 0.000 0.000 0.000  2.38
Te: 0.381 0.067 0.201  -0.09

* E_form (uncorrected): -0.7863 eV per atom
* calculated volume: 34.64 Å³ per atom

Record 4
A plane-wave DFT calculation with PBE-GGA was carried out for a geometry-optimized Ba2Nb2Sn structure.

a b c (Å): 3.769 3.769 11.934
angles (deg): 80.91 80.91 90.00
Positions (direct):
Nb: 0.750 0.250 0.500
Sn: 0.000 0.000 0.000
Ba: 0.605 0.605 0.790
Nb: 0.250 0.750 0.500
Ba: 0.395 0.395 0.210

* DFT formation energy: 306 meV/atom
* E above lowest polymorph: 0 meV/atom
* calculated volume: 33.05 Å³ per atom

Record 5
A plane-wave DFT calculation with PBE-GGA was carried out for a geometry-optimized Mo2RuW structure.

a b c (Å): 4.903 4.903 4.903
angles (deg): 132.81 132.81 68.95
Positions (direct):
W: 0.750 0.250 0.500
Mo: 0.000 0.000 0.000
Mo: 0.500 0.500 0.000
Ru: 0.250 0.750 0.500

* DFT formation energy: 231 meV/atom
* E above lowest polymorph: 122 meV/atom
* calculated volume: 15.56 Å³ per atom

Record 6
A plane-wave DFT calculation with PBE-GGA was carried out for a geometry-optimized Tl2SeO6 structure.

a b c (Å): 4.452 8.572 8.572
angles (deg): 109.48 103.01 103.01
Positions (direct):
O: 0.071 0.866 0.347
Se: 0.250 0.175 0.825
O: 0.862 0.788 0.994
O: 0.362 0.994 0.788
Se: 0.750 0.825 0.175
Tl: 0.620 0.548 0.739
Tl: 0.120 0.739 0.548
O: 0.429 0.653 0.134
O: 0.138 0.212 0.006
O: 0.905 0.458 0.310
O: 0.571 0.347 0.866
Tl: 0.380 0.452 0.261
O: 0.929 0.134 0.653
O: 0.405 0.310 0.458
Tl: 0.880 0.261 0.452
O: 0.595 0.690 0.542
O: 0.095 0.542 0.690
O: 0.638 0.006 0.212

* E_form (uncorrected): -0.5929 eV per atom
* E above lowest polymorph: 0 meV/atom
* calculated volume: 15.78 Å³ per atom

Record 7
A plane-wave DFT calculation with PBE-GGA was carried out for a geometry-optimized ZnBiIr structure.

a b c (Å): 4.586 4.586 12.440
angles (deg): 90.00 90.00 90.00
Positions (direct):
Zn: 0.500 0.000 0.000
Zn: 0.000 0.500 0.500
Ir: 0.500 0.500 0.607
Ir: 0.500 0.500 0.393
Ir: 0.000 0.000 0.107
Bi: 0.000 0.500 0.250
Zn: 0.500 0.000 0.500
Ir: 0.000 0.000 0.893
Zn: 0.000 0.500 0.000
Bi: 0.500 0.000 0.750
Bi: 0.500 0.000 0.250
Bi: 0.000 0.500 0.750

* DFT formation energy: -16 meV/atom
* E above lowest polymorph: 31 meV/atom
* calculated volume: 21.80 Å³ per atom

Record 8
A plane-wave DFT calculation with PBE-GGA was carried out for a geometry-optimized Os5Pt3 structure.

a b c (Å): 7.168 7.477 8.040
angles (deg): 99.36 90.25 142.01
Positions (direct):
Os: 0.260 0.781 0.548
Os: 0.829 0.480 0.231
Os: 0.554 0.751 0.325
Os: 0.446 0.250 0.676
Os: 0.029 0.753 0.816
Pt: 0.672 0.216 0.911
Pt: 0.685 0.761 0.945
Pt: 0.189 0.302 0.486
Os: 0.741 0.219 0.453
Pt: 0.329 0.785 0.089
Os: 0.172 0.521 0.769
Os: 0.721 0.953 0.671
Pt: 0.316 0.240 0.056
Os: 0.279 0.048 0.329
Pt: 0.812 0.699 0.515
Os: 0.972 0.248 0.185

* DFT formation energy: 382 meV/atom
* E above lowest polymorph: 188 meV/atom
* calculated volume: 15.96 Å³ per atom

- calculated volume of number 8 (Os5Pt3)?
  15.96 Å³ per atom

What did the third record say?
A plane-wave DFT calculation with PBE-GGA was carried out for a geometry-optimized K3Np2VTe6 structure.

a b c (Å): 7.638 7.638 8.622
angles (deg): 98.53 98.53 120.05
Each line ends with the local moment (μB).
Positions (direct):
K: 0.500 0.500 0.500  0.00
K: 0.172 0.828 0.500  0.00
K: 0.828 0.172 0.500  0.00
Te: 0.067 0.381 0.201  -0.09
Te: 0.755 0.755 0.203  -0.09
Te: 0.933 0.619 0.799  -0.09
Te: 0.619 0.933 0.799  -0.09
Te: 0.245 0.245 0.797  -0.09
Np: 0.334 0.666 0.000  3.87
Np: 0.666 0.334 0.000  3.87
V: 0.000 0.000 0.000  2.38
Te: 0.381 0.067 0.201  -0.09

* E_form (uncorrected): -0.7863 eV per atom
* calculated volume: 34.64 Å³ per atom

- Among the records above, which one has the highest calculated volume?
  K3Np2VTe6

- What is the formula in the seventh record?
  ZnBiIr